(1)
The following is a DFT calculation (SCAN) of a crystal of BaBPF10 relaxed with PBEsol.

```
BaBPF10
1.0
10.380 0.000 0.000
-5.190 8.990 0.000
0.000 0.000 6.168
Ba B P F
3 3 3 30
Direct
0.000 0.000 0.000
0.333 0.667 0.500
0.667 0.333 0.500
0.000 0.752 0.500
0.248 0.248 0.500
0.752 0.000 0.500
0.000 0.439 0.000
0.439 0.000 0.000
0.561 0.561 0.000
0.000 0.282 0.000
0.000 0.593 0.000
0.000 0.830 0.313
0.000 0.830 0.687
0.128 0.737 0.500
0.129 0.502 0.187
0.129 0.502 0.813
0.170 0.170 0.313
0.170 0.170 0.687
0.263 0.390 0.500
0.282 0.000 0.000
0.373 0.871 0.187
0.373 0.871 0.813
0.390 0.263 0.500
0.407 0.407 0.000
0.498 0.627 0.187
0.498 0.627 0.813
0.502 0.129 0.187
0.502 0.129 0.813
0.593 0.000 0.000
0.610 0.872 0.500
0.627 0.498 0.187
0.627 0.498 0.813
0.718 0.718 0.000
0.737 0.128 0.500
0.830 0.000 0.313
0.830 0.000 0.687
0.871 0.373 0.187
0.871 0.373 0.813
0.872 0.610 0.500
```

Properties
uncorrected formation energy = -3.23 eV per atom
M_tot = 0.00 Bohr magnetons per cell


(2)
The following is a DFT calculation (SCAN) of a crystal of Ba2BSbF relaxed with PBEsol.

```
Ba2BSbF
1.0
6.546 0.000 0.000
0.000 6.546 0.000
0.000 0.000 4.454
Ba B Sb F
2 1 1 1
Direct
0.000 0.500 0.000
0.500 0.000 0.000
0.000 0.000 0.500
0.500 0.500 0.000
0.500 0.500 0.500
```

Properties
uncorrected formation energy = -0.04 eV per atom
M_tot = 2.48 Bohr magnetons per cell


(3)
The following is a DFT calculation (SCAN) of a crystal of Ba2FeBN relaxed with PBEsol.

```
Ba2FeBN
1.0
5.913 0.000 0.000
0.000 5.913 0.000
0.000 0.000 2.918
Ba Fe B N
2 1 1 1
Direct
0.000 0.500 0.000
0.500 0.000 0.000
0.000 0.000 0.500
0.500 0.500 0.000
0.500 0.500 0.500
```

Properties
uncorrected formation energy = 0.63 eV per atom
M_tot = 1.78 Bohr magnetons per cell